This record from Alexandria via LeMat-Bulk describes an optimized crystal structure of SrTaRe. The functional is PBE. Values from VASP.

Computed properties:
Fermi-level density of states (states/eV/atom): 1.08
SG: Fmm2, No. 42
Energy above the most stable polymorph in this dataset (eV/atom): 0.265
Formation enthalpy at 0 K (eV/f.u.): 2.226
Total energy (eV per atom): -7.919

Geometry as Quantum ESPRESSO input:
```
&SYSTEM
  ibrav = 0, nat = 3, ntyp = 3
/
ATOMIC_SPECIES
Sr 87.62 Sr.upf
Ta 180.95 Ta.upf
Re 186.21 Re.upf
CELL_PARAMETERS angstrom
0.0000 2.5317 7.5725
1.6965 0.0000 7.5725
1.6965 2.5317 0.0000
ATOMIC_POSITIONS crystal
Sr 0.0000 0.0000 0.0000
Ta 0.2995 0.2995 0.7005
Re 0.6749 0.6749 0.3251
```